## NaDyCoS3 (PBE)

Data for a relaxed NaDyCoS3 crystal.

```
data_NaDyCoS3
_space_group_name_H-M_alt 'P 1'
_space_group_IT_number 1
_cell_length_a 10.8123
_cell_length_b 3.9126
_cell_length_c 11.2191
_cell_angle_alpha 90.00
_cell_angle_beta 90.00
_cell_angle_gamma 90.00
loop_
_space_group_symop_operation_xyz
'x,y,z'
loop_
_atom_site_label
_atom_site_type_symbol
_atom_site_fract_x
_atom_site_fract_y
_atom_site_fract_z
Na1 Na 0.1706 0.2500 0.0044
Na2 Na 0.3294 0.7500 0.5044
Na3 Na 0.6706 0.2500 0.4956
Na4 Na 0.8294 0.7500 0.9956
Dy1 Dy 0.0151 0.2500 0.6795
Dy2 Dy 0.4849 0.7500 0.1795
Dy3 Dy 0.5151 0.2500 0.8205
Dy4 Dy 0.9849 0.7500 0.3205
Co1 Co 0.2487 0.7500 0.7902
Co2 Co 0.2513 0.2500 0.2902
Co3 Co 0.7487 0.7500 0.7098
Co4 Co 0.7513 0.2500 0.2098
S1 S 0.0501 0.7500 0.8474
S2 S 0.1136 0.2500 0.4407
S3 S 0.2230 0.7500 0.2010
S4 S 0.2770 0.2500 0.7010
S5 S 0.3864 0.7500 0.9407
S6 S 0.4499 0.2500 0.3474
S7 S 0.5501 0.7500 0.6526
S8 S 0.6136 0.2500 0.0593
S9 S 0.7230 0.7500 0.2990
S10 S 0.7770 0.2500 0.7990
S11 S 0.8864 0.7500 0.5593
S12 S 0.9499 0.2500 0.1526
```

Properties
DFT total energy = -0.39954 Ry per atom
E above lowest polymorph = 38.3 meV/atom
space group = Pnma (62)